No. 1
Compound: LaHfH2Se
Source: the Alexandria database
Functional: PBE
Structure: relaxed

POSCAR file:
```
LaHfH2Se
1.0
4.123 0.000 0.000
0.000 6.959 0.000
0.000 0.000 4.123
Hf H Se La
1 2 1 1
Direct
0.000 0.500 0.000
0.000 0.000 0.500
0.500 0.000 0.000
0.500 0.500 0.500
0.000 0.000 0.000
```

Summary:
DFT total energy ... -24.89 eV/f.u.


No. 2
Compound: La2HfTlH
Source: the Alexandria database
Functional: PBE
Structure: relaxed

POSCAR file:
```
La2HfTlH
1.0
-0.928 -3.675 3.167
3.928 1.323 2.686
-2.772 2.944 2.603
Hf La H Tl
1 2 1 1
Direct
0.000 0.000 0.500
0.000 0.500 0.000
0.500 0.000 0.000
0.000 0.000 0.000
0.500 0.500 0.500
```

Summary:
DFT total energy ... -26.16 eV/f.u.


No. 3
Compound: La2YHfH
Source: the Alexandria database
Functional: PBE
Structure: relaxed

POSCAR file:
```
La2YHfH
1.0
-3.036 -3.046 2.648
0.130 -3.385 -3.746
3.950 -2.139 2.069
Y La Hf H
1 2 1 1
Direct
0.000 0.000 0.500
0.500 0.000 0.000
0.000 0.500 0.000
0.500 0.500 0.500
0.000 0.000 0.000
```

Summary:
E above lowest polymorph ... 0 meV per atom


No. 4
Compound: LaYHf2H
Source: the Alexandria database
Functional: PBE
Structure: relaxed

POSCAR file:
```
LaYHf2H
1.0
-3.585 -2.938 -0.521
0.804 -1.735 4.254
-3.062 3.389 1.961
Hf H Y La
2 1 1 1
Direct
0.500 0.000 0.000
0.000 0.500 0.000
0.000 0.000 0.000
0.000 0.000 0.500
0.500 0.500 0.500
```

Summary:
DFT total energy ... -34.34 eV/f.u.


No. 5
Compound: La2YHfH
Source: the Alexandria database
Functional: PBE
Structure: relaxed

POSCAR file:
```
La2YHfH
1.0
5.135 0.000 0.000
0.000 5.135 0.000
0.000 0.000 4.758
La H Y Hf
2 1 1 1
Direct
0.000 0.500 0.000
0.500 0.000 0.000
0.000 0.000 0.000
0.500 0.500 0.500
0.000 0.000 0.500
```

Summary:
E above lowest polymorph ... 7 meV per atom


No. 6
Compound: Li2HfH6
Source: the Alexandria database
Functional: PBE
Structure: relaxed

POSCAR file:
```
Li2HfH6
1.0
4.595 0.000 2.653
1.532 4.332 2.653
0.000 0.000 5.305
H Li Hf
6 2 1
Direct
0.742 0.258 0.258
0.258 0.258 0.742
0.742 0.742 0.258
0.258 0.742 0.742
0.258 0.742 0.258
0.742 0.258 0.742
0.250 0.250 0.250
0.750 0.750 0.750
0.000 0.000 0.000
```

Summary:
E above lowest polymorph ... 363 meV per atom


No. 7
Compound: LiHf3H
Source: the Alexandria database
Functional: PBE
Structure: relaxed

POSCAR file:
```
LiHf3H
1.0
4.387 0.000 0.000
0.000 4.387 0.000
0.000 0.000 4.387
Hf Li H
3 1 1
Direct
0.000 0.000 0.500
0.000 0.500 0.000
0.500 0.000 0.000
0.500 0.500 0.500
0.000 0.000 0.000
```

Summary:
E above lowest polymorph ... 0 meV per atom


No. 8
Compound: Li2HfH
Source: the Alexandria database
Functional: PBE
Structure: relaxed

POSCAR file:
```
Li2HfH
1.0
-4.288 3.003 -1.648
-3.372 -4.166 1.184
-4.256 0.786 3.366
H Hf Li
2 2 4
Direct
0.250 0.750 0.500
0.500 0.500 0.000
0.750 0.250 0.500
0.000 0.000 0.000
0.375 0.125 0.250
0.375 0.625 0.250
0.875 0.625 0.750
0.375 0.625 0.750
```

Summary:
E above lowest polymorph ... 0 meV per atom


No. 9
Compound: Li2HfH
Source: the Alexandria database
Functional: PBE
Structure: relaxed

POSCAR file:
```
Li2HfH
1.0
4.124 -1.635 -0.064
0.862 -3.920 1.890
0.952 -3.520 -2.527
Li H Hf
2 1 1
Direct
0.750 0.750 0.750
0.250 0.250 0.250
0.000 0.000 0.000
0.500 0.500 0.500
```

Summary:
E above lowest polymorph ... 720 meV per atom


No. 10
Compound: Li2HfH6
Source: the Alexandria database
Functional: PBE
Structure: relaxed

POSCAR file:
```
Li2HfH6
1.0
-1.461 -2.073 2.105
0.860 0.068 3.245
-5.029 3.903 2.932
H Li Hf
6 2 1
Direct
0.356 0.948 0.340
0.674 0.264 0.389
0.326 0.736 0.611
0.892 0.377 0.838
0.644 0.052 0.660
0.108 0.623 0.162
0.211 0.720 0.859
0.789 0.280 0.141
0.000 0.500 0.500
```

Summary:
E above lowest polymorph ... 0 meV per atom


No. 11
Compound: LiHf2H6
Source: the Alexandria database
Functional: PBE
Structure: relaxed

POSCAR file:
```
LiHf2H6
1.0
0.076 3.152 0.741
0.673 1.062 -4.586
-5.251 -1.842 1.268
H Hf Li
6 2 1
Direct
0.500 0.738 0.000
0.834 0.082 0.668
0.834 0.585 0.668
0.500 0.262 0.000
0.166 0.415 0.332
0.166 0.918 0.332
0.666 0.666 0.332
0.334 0.334 0.668
0.000 0.000 0.000
```

Summary:
DFT total energy ... -46.10 eV/f.u.


No. 12
Compound: Li3Hf5H12
Source: the Alexandria database
Functional: PBE
Structure: relaxed

POSCAR file:
```
Li3Hf5H12
1.0
10.169 0.000 0.000
-3.390 9.588 0.000
-3.390 -4.794 8.303
Hf H Li
20 48 12
Direct
0.875 0.625 0.750
0.500 0.500 0.500
0.000 0.500 0.500
0.250 0.875 0.125
0.625 0.750 0.875
0.125 0.375 0.250
0.000 0.500 0.000
0.750 0.125 0.875
0.625 0.875 0.250
0.500 0.500 0.000
0.375 0.125 0.750
0.375 0.250 0.125
0.000 0.000 0.000
0.500 0.000 0.000
0.250 0.375 0.625
0.125 0.750 0.375
0.875 0.250 0.625
0.750 0.625 0.375
0.500 0.000 0.500
0.000 0.000 0.500
0.620 0.669 0.465
0.465 0.295 0.345
0.831 0.295 0.451
0.655 0.205 0.535
0.705 0.535 0.155
0.465 0.169 0.620
0.049 0.669 0.705
0.965 0.845 0.795
0.549 0.205 0.169
0.295 0.465 0.845
0.380 0.331 0.535
0.795 0.451 0.331
0.345 0.549 0.380
0.331 0.951 0.795
0.535 0.705 0.655
0.451 0.655 0.120
0.880 0.845 0.549
0.951 0.331 0.295
0.120 0.155 0.451
0.831 0.535 0.880
0.880 0.035 0.831
0.205 0.549 0.669
0.380 0.049 0.345
0.120 0.965 0.169
0.155 0.120 0.951
0.155 0.035 0.705
0.331 0.380 0.035
0.049 0.380 0.845
0.669 0.049 0.205
0.169 0.465 0.120
0.705 0.169 0.049
0.169 0.705 0.549
0.345 0.795 0.465
0.295 0.831 0.951
0.205 0.655 0.035
0.795 0.345 0.965
0.965 0.120 0.669
0.549 0.345 0.880
0.620 0.951 0.655
0.035 0.155 0.205
0.669 0.620 0.965
0.845 0.965 0.295
0.951 0.620 0.155
0.845 0.880 0.049
0.655 0.451 0.620
0.451 0.795 0.831
0.535 0.831 0.380
0.035 0.880 0.331
0.250 0.125 0.375
0.625 0.250 0.375
0.875 0.125 0.250
0.375 0.750 0.625
0.625 0.375 0.750
0.250 0.625 0.875
0.125 0.250 0.875
0.750 0.375 0.125
0.750 0.875 0.625
0.375 0.625 0.250
0.875 0.750 0.125
0.125 0.875 0.750
```

Summary:
DFT total energy ... -100.99 eV/f.u.